Material: KTlCoO4
Method: DFT, PBE with a Hubbard U
State: relaxed

Calculated values
- DOS(E_F) (states/eV per cell) = 0.81
- spin magnetization (Bohr magnetons per cell) = 6.0
- space-group type = P2_1/m (11)
- energy (eV per atom) = -4.8744

Cell: 5.876 6.082 7.119 Å, 90.00 107.24 90.00°
Sites, in units of the cell vectors:
K  0.215  0.250  0.433
K  0.785  0.750  0.567
Tl  0.316  0.250  0.959
Tl  0.684  0.750  0.041
Co  0.238  0.750  0.170
Co  0.762  0.250  0.830
O  0.030  0.750  0.944
O  0.034  0.750  0.304
O  0.449  0.522  0.193
O  0.449  0.978  0.193
O  0.551  0.022  0.807
O  0.551  0.478  0.807
O  0.966  0.250  0.696
O  0.970  0.250  0.056